# 1
First-principles (PBE) data for an optimized crystal structure of La2Y7Ho, as listed in Alexandria.

Calculated values
The total energy comes out at -116.135 eV for the cell shown. The energy above the most stable polymorph in this dataset is 0.137 eV per atom. The formation energy comes out at 0.1614 eV per atom.

Cell: 6.6027 29.1517 3.5304 Å, 90.00 90.00 90.00°
Last column: nearest neighbours and their distance in Å.
Space group Cmmm (No. 65)
One atom of each set of equivalent atoms:
La: 0.0000 0.2060 0.0000  2 La 3.53, 8 Y 3.60-3.79
Y: 0.0000 0.0000 0.0000  6 Y 3.29-3.53
Y: 0.0000 0.3152 0.5000  6 Y 3.50-3.53, 6 La 3.64-3.79
Y: 0.2442 0.4030 0.0000  7 Y 3.22-3.53, 1 La 3.60
Ho: 0.0000 0.5000 0.5000  2 Ho 3.53, 12 Y 3.70-3.74


# 2
First-principles (PBE) data for an optimized crystal structure of LaY3Ho6, as listed in Alexandria.

Calculated values
The total energy comes out at -146.436 eV for the cell shown. The energy above the most stable polymorph in this dataset is 0.151 eV per atom. The formation energy comes out at 0.2974 eV per atom.

Cell: 9.8480 9.8480 11.6609 Å, 90.00 90.00 120.00°
Last column: nearest neighbours and their distance in Å.
Space group R3 (No. 146, hexagonal axes)
One atom of each set of equivalent atoms:
La: 0.0000 0.0000 0.0000  2 Y 2.91-2.99
Y: 0.0000 0.0000 0.2565  1 Y 2.86, 1 La 2.99
Y: 0.0000 0.0000 0.5018  2 Y 2.86-2.90
Y: 0.0000 0.0000 0.7500  1 Y 2.90, 1 La 2.91
Ho: 0.9996 0.3345 0.3322  1 La 3.27, 2 Y 3.41-3.42
Ho: 0.0047 0.6680 0.1652  3 Y 3.24-3.46


# 3
First-principles (PBE) data for an optimized crystal structure of La5YHo2, as listed in Alexandria.

Calculated values
The total energy comes out at -156.819 eV for the cell shown. The formation energy comes out at 0.1315 eV per atom.

Cell: 5.7931 17.0460 11.6116 Å, 90.00 90.00 90.00°
Last column: nearest neighbours and their distance in Å.
Space group Cmcm (No. 63)
One atom of each set of equivalent atoms:
La: 0.0000 0.0470 0.1146  4 La 3.11-3.47
La: 0.0000 0.3895 0.7500  4 La 3.47, 2 Y 3.54, 2 Ho 3.54
La: 0.0000 0.4111 0.0847  8 La 3.61-3.90, 3 Ho 3.62-3.85, 1 Y 3.64
Y: 0.0000 0.2296 0.2500  6 La 3.49-3.64, 6 Ho 3.61-3.86
Ho: 0.0000 0.2160 0.5822  5 La 3.54-3.85, 3 Y 3.61-3.86, 3 Ho 3.66-3.90